Entry 1:
Below is crystalline RbTcPbAu2 at its relaxed geometry, with properties calculated at the GGA-PBE level.

## Properties
calculated formation energy: 0.819 eV per atom
N(E_F): 3.9 states/eV/f.u.
space-group type: No. 123

Unit cell a=5.5575 b=5.5575 c=5.4214 alpha=90.00 beta=90.00 gamma=90.00
With the nearest neighbours (Å) after each atom.
Atoms (fractional coordinates):
Rb (0.0000, 0.0000, 0.0000)  8 Au 3.88, 4 Tc 3.93
Tc (0.5000, 0.5000, 0.0000)  2 Pb 2.71
Pb (0.5000, 0.5000, 0.5000)  2 Tc 2.71, 4 Au 2.78
Au (0.0000, 0.5000, 0.5000)  2 Pb 2.78
Au (0.5000, 0.0000, 0.5000)  2 Pb 2.78

Entry 2:
Below is crystalline Fe2AgCl at its relaxed geometry, with properties calculated at the GGA-PBE level.

## Properties
ΔE_f (raw): 2.4 eV per formula unit
N(E_F): 4.1 states/eV/f.u.
space-group type: No. 10

Unit cell a=4.6686 b=2.8528 c=5.2800 alpha=90.00 beta=114.20 gamma=90.00
With the nearest neighbours (Å) after each atom.
Atoms (fractional coordinates):
Fe (0.0000, 0.0000, 0.0000)  2 Ag 2.71, 4 Cl 2.74, 6 Fe 2.85-3.00
Fe (0.0000, 0.5000, 0.5000)  2 Cl 2.71, 4 Ag 2.74, 6 Fe 2.85-3.00
Ag (0.5000, 0.0000, 0.5000)  6 Fe 2.71-2.74, 2 Ag 2.85, 4 Cl 3.00
Cl (0.5000, 0.5000, 0.0000)  6 Fe 2.71-2.74, 2 Cl 2.85, 4 Ag 3.00

Entry 3:
Below is crystalline RbSbPt2C at its relaxed geometry, with properties calculated at the GGA-PBE level.

## Properties
ΔE_f (raw): 8.1 eV per formula unit
N(E_F): 4.6 states/eV/f.u.
space-group type: No. 123

Unit cell a=4.9656 b=4.9656 c=7.4478 alpha=90.00 beta=90.00 gamma=90.00
With the nearest neighbours (Å) after each atom.
Atoms (fractional coordinates):
Rb (0.0000, 0.0000, 0.0000)  4 C 3.51, 2 Sb 3.72
Sb (0.0000, 0.0000, 0.5000)  4 Pt 2.48
Pt (0.0000, 0.5000, 0.5000)  2 Sb 2.48
Pt (0.5000, 0.0000, 0.5000)  2 Sb 2.48
C (0.5000, 0.5000, 0.0000)  4 Rb 3.51

What is the formula in the second record? Fe2AgCl

Number 2 is which compound? Fe2AgCl